Entry 1:
A plane-wave DFT calculation with GGA-PBE was carried out for a relaxed structure of OsRh2Au.

Properties
The crystal system is cubic. For the energy of formation from the pure elements, the calculation gives 583 meV per atom. Its space group is No. 216. Its distance to the lowest polymorph of the same formula is 49.92 kJ per mole of atoms.

Cell: 4.4262 4.4262 4.4262 Å, 60.00 60.00 60.00°
Atoms (fractional coordinates):
Os1 0.0000 0.0000 0.0000
Rh1 0.2500 0.2500 0.2500
Rh2 0.5000 0.5000 0.5000
Au1 0.7500 0.7500 0.7500



Entry 2:
A plane-wave DFT calculation with GGA-PBE was carried out for a relaxed structure of P3IrRu.

Properties
The crystal system is cubic. For the energy of formation from the pure elements, the calculation gives 998 meV per atom. Its space group is No. 221. Its distance to the lowest polymorph of the same formula is 0.00 kJ per mole of atoms.

Cell: 4.4793 4.4793 4.4793 Å, 90.00 90.00 90.00°
Atoms (fractional coordinates):
P1 0.0000 0.0000 0.5000
P2 0.0000 0.5000 0.0000
P3 0.5000 0.0000 0.0000
Ir1 0.5000 0.5000 0.5000
Ru1 0.0000 0.0000 0.0000



Entry 3:
A plane-wave DFT calculation with GGA-PBE was carried out for a relaxed structure of CeCd2Pd8.

Properties
The crystal system is monoclinic. For the energy of formation from the pure elements, the calculation gives -475 meV per atom. Its space group is No. 12. Its distance to the lowest polymorph of the same formula is 0.00 kJ per mole of atoms.

Cell: 7.5835 7.5835 6.3997 Å, 105.17 105.17 32.06°
Atoms (fractional coordinates):
Ce1 0.0000 0.0000 0.0000
Cd1 0.2762 0.2762 0.3536
Cd2 0.7238 0.7238 0.6464
Pd1 0.0903 0.0903 0.4565
Pd2 0.1804 0.1804 0.9122
Pd3 0.3624 0.3624 0.8167
Pd4 0.4574 0.4574 0.2758
Pd5 0.5426 0.5426 0.7242
Pd6 0.6376 0.6376 0.1833
Pd7 0.8196 0.8196 0.0878
Pd8 0.9097 0.9097 0.5435



Entry 4:
A plane-wave DFT calculation with GGA-PBE was carried out for a relaxed structure of Cs2SnBI6.

Properties
The crystal system is tetragonal. Its space group is No. 139. The value obtained for the raw formation energy is -4.9 eV/f.u.

Cell: 8.2328 8.2328 8.2328 Å, 117.26 117.26 94.82°
Atoms (fractional coordinates):
Cs1 0.2500 0.7500 0.5000
Cs2 0.7500 0.2500 0.5000
Sn1 0.0000 0.0000 0.0000
B1 0.5000 0.5000 0.0000
I1 0.2577 0.2577 0.5154
I2 0.2577 0.7423 0.0000
I3 0.2790 0.2790 0.0000
I4 0.7210 0.7210 0.0000
I5 0.7423 0.2577 0.0000
I6 0.7423 0.7423 0.4846